P.
LiTiTl after structural relaxation, computed with PBE.

The structure in POSCAR format:
```
LiTiTl
1.0
4.8251 0.0000 0.0000
-2.4125 4.1786 0.0000
0.0000 0.0000 5.7549
Li Ti Tl
2 2 2
Direct
0.0000 0.0000 0.0000 Li
0.0000 0.0000 0.5000 Li
0.3333 0.6667 0.2500 Ti
0.6667 0.3333 0.7500 Ti
0.3333 0.6667 0.7500 Tl
0.6667 0.3333 0.2500 Tl
```

Results
Total magnetization ... 0.000 μB/atom
Density ... 7.42 Mg/m³

=====

Q.
LiTiTl after structural relaxation, computed with PBE.

The structure in POSCAR format:
```
LiTiTl
1.0
4.5850 0.0000 0.0000
-2.2925 3.9708 0.0000
0.0000 0.0000 6.0063
Li Ti Tl
2 2 2
Direct
0.3333 0.6667 0.2500 Li
0.6667 0.3333 0.7500 Li
0.3333 0.6667 0.7500 Ti
0.6667 0.3333 0.2500 Ti
0.0000 0.0000 0.0000 Tl
0.0000 0.0000 0.5000 Tl
```

Results
Total magnetization ... 0.000 μB/atom
Density ... 7.87 Mg/m³

=====

Most stable to least stable: P, Q

=====

P.
LiTiTl after structural relaxation, computed with PBE.

The structure in POSCAR format:
```
LiTiTl
1.0
3.2658 0.0000 0.0000
0.0000 3.5429 0.0000
0.0000 0.0000 9.8990
Li Ti Tl
2 2 2
Direct
0.2500 0.2500 0.0833 Li
0.7500 0.7500 0.9167 Li
0.2500 0.2500 0.4275 Ti
0.7500 0.7500 0.5725 Ti
0.2500 0.2500 0.7594 Tl
0.7500 0.7500 0.2406 Tl
```

Results
Total magnetization ... 0.000 μB/atom
Density ... 7.52 Mg/m³

=====

Q.
LiTiTl after structural relaxation, computed with PBE.

The structure in POSCAR format:
```
LiTiTl
1.0
4.7809 0.0000 0.0000
-2.3905 4.1404 0.0000
0.0000 0.0000 5.8630
Li Ti Tl
2 2 2
Direct
0.0000 0.0000 0.0000 Li
0.3333 0.6667 0.1927 Li
0.3333 0.6667 0.6844 Ti
0.6667 0.3333 0.4486 Ti
0.0000 0.0000 0.4880 Tl
0.6667 0.3333 0.9457 Tl
```

Results
Total magnetization ... 0.371 μB/atom
Density ... 7.42 Mg/m³

=====

R.
LiTiTl after structural relaxation, computed with PBE.

The structure in POSCAR format:
```
LiTiTl
1.0
8.6361 0.0000 0.0000
0.0000 3.0551 0.0000
0.0000 0.0000 8.8380
Li Ti Tl
4 4 4
Direct
0.1264 0.2500 0.0837 Li
0.3736 0.7500 0.5837 Li
0.6264 0.2500 0.4163 Li
0.8736 0.7500 0.9163 Li
0.1010 0.2500 0.4193 Ti
0.3990 0.7500 0.9193 Ti
0.6010 0.2500 0.0807 Ti
0.8990 0.7500 0.5807 Ti
0.1399 0.2500 0.7607 Tl
0.3601 0.7500 0.2607 Tl
0.6399 0.2500 0.7393 Tl
0.8601 0.7500 0.2393 Tl
```

Results
Total magnetization ... 0.000 μB/atom
Density ... 7.38 Mg/m³

=====

Most stable to least stable: P, R, Q

=====

P.
LiTi2Tl2 after structural relaxation, computed with PBE.

The structure in POSCAR format:
```
LiTi2Tl2
1.0
-2.1502 2.1502 6.2460
2.1502 -2.1502 6.2460
2.1502 2.1502 -6.2460
Li Ti Tl
1 2 2
Direct
0.0000 0.0000 0.0000 Li
0.4176 0.4176 0.0000 Ti
0.5824 0.5824 0.0000 Ti
0.2500 0.7500 0.5000 Tl
0.7500 0.2500 0.5000 Tl
```

Results
Total magnetization ... 0.000 μB/atom
Density ... 7.35 Mg/m³

=====

Q.
LiTi2Tl2 after structural relaxation, computed with PBE.

The structure in POSCAR format:
```
LiTi2Tl2
1.0
8.3317 0.0000 0.0000
0.0000 8.3317 0.0000
0.0000 0.0000 3.1441
Li Ti Tl
2 4 4
Direct
0.0000 0.0000 0.0000 Li
0.5000 0.5000 0.0000 Li
0.1129 0.3871 0.5000 Ti
0.3871 0.8871 0.5000 Ti
0.6129 0.1129 0.5000 Ti
0.8871 0.6129 0.5000 Ti
0.1835 0.6835 0.0000 Tl
0.3165 0.1835 0.0000 Tl
0.6835 0.8165 0.0000 Tl
0.8165 0.3165 0.0000 Tl
```

Results
Total magnetization ... 0.432 μB/atom
Density ... 7.78 Mg/m³

=====

Most stable to least stable: Q, P

=====

P.
LiTiV2 after structural relaxation, computed with PBE.

The structure in POSCAR format:
```
LiTiV2
1.0
0.0000 3.0533 3.0533
3.0533 0.0000 3.0533
3.0533 3.0533 0.0000
Li Ti V
1 1 2
Direct
0.0000 0.0000 0.0000 Li
0.5000 0.5000 0.5000 Ti
0.2500 0.2500 0.2500 V
0.7500 0.7500 0.7500 V
```

Results
Total magnetization ... 0.000 μB/atom
Density ... 4.57 Mg/m³

=====

Q.
LiTiV2 after structural relaxation, computed with PBE.

The structure in POSCAR format:
```
LiTiV2
1.0
-1.7788 1.7788 9.2525
1.7788 -1.7788 9.2525
1.7788 1.7788 -9.2525
Li Ti V
2 2 4
Direct
0.0000 0.0000 0.0000 Li
0.7500 0.2500 0.5000 Li
0.2500 0.7500 0.5000 Ti
0.5000 0.5000 0.0000 Ti
0.1336 0.1250 0.5086 V
0.3750 0.8664 0.9914 V
0.6164 0.6250 0.4914 V
0.8750 0.3836 0.0086 V
```

Results
Total magnetization ... 0.000 μB/atom
Density ... 4.44 Mg/m³

=====

Most stable to least stable: P, Q

=====

P.
Li2TiV after structural relaxation, computed with PBE.

The structure in POSCAR format:
```
Li2TiV
1.0
-3.5764 3.5764 2.3525
3.5764 -3.5764 2.3525
3.5764 3.5764 -2.3525
Li Ti V
4 2 2
Direct
0.1172 0.6250 0.9922 Li
0.3750 0.3672 0.4922 Li
0.6328 0.1250 0.0078 Li
0.8750 0.8828 0.5078 Li
0.2500 0.7500 0.5000 Ti
0.5000 0.5000 0.0000 Ti
0.0000 0.0000 0.0000 V
0.7500 0.2500 0.5000 V
```

Results
Total magnetization ... 0.208 μB/atom
Density ... 3.11 Mg/m³

=====

Q.
Li2TiV after structural relaxation, computed with PBE.

The structure in POSCAR format:
```
Li2TiV
1.0
0.0000 3.0727 3.0727
3.0727 0.0000 3.0727
3.0727 3.0727 0.0000
Li Ti V
2 1 1
Direct
0.2500 0.2500 0.2500 Li
0.7500 0.7500 0.7500 Li
0.0000 0.0000 0.0000 Ti
0.5000 0.5000 0.5000 V
```

Results
Total magnetization ... 0.044 μB/atom
Density ... 3.23 Mg/m³

=====

Most stable to least stable: Q, P

=====

P.
LiTi2V after structural relaxation, computed with PBE.

The structure in POSCAR format:
```
LiTi2V
1.0
0.0000 3.1460 3.1460
3.1460 0.0000 3.1460
3.1460 3.1460 0.0000
Li Ti V
1 2 1
Direct
0.0000 0.0000 0.0000 Li
0.2500 0.2500 0.2500 Ti
0.7500 0.7500 0.7500 Ti
0.5000 0.5000 0.5000 V
```

Results
Total magnetization ... 0.535 μB/atom
Density ... 4.10 Mg/m³

=====

Q.
LiTi2V after structural relaxation, computed with PBE.

The structure in POSCAR format:
```
LiTi2V
1.0
-3.2243 3.2243 5.6423
3.2243 -3.2243 5.6423
3.2243 3.2243 -5.6423
Li Ti V
2 4 2
Direct
0.3750 0.6250 0.7500 Li
0.6250 0.3750 0.2500 Li
0.0000 0.0000 0.0000 Ti
0.0000 0.0000 0.5000 Ti
0.0000 0.5000 0.0000 Ti
0.5000 0.0000 0.5000 Ti
0.1250 0.8750 0.2500 V
0.8750 0.1250 0.7500 V
```

Results
Total magnetization ... 0.000 μB/atom
Density ... 2.17 Mg/m³

=====

Most stable to least stable: P, Q

=====

P.
Li2TiW after structural relaxation, computed with PBE.

The structure in POSCAR format:
```
Li2TiW
1.0
-3.5411 3.5411 2.4243
3.5411 -3.5411 2.4243
3.5411 3.5411 -2.4243
Li Ti W
4 2 2
Direct
0.1203 0.6250 0.9953 Li
0.3750 0.3703 0.4953 Li
0.6297 0.1250 0.0047 Li
0.8750 0.8797 0.5047 Li
0.0000 0.0000 0.0000 Ti
0.7500 0.2500 0.5000 Ti
0.2500 0.7500 0.5000 W
0.5000 0.5000 0.0000 W
```

Results
Total magnetization ... 0.000 μB/atom
Density ... 6.71 Mg/m³

=====

Q.
Li2TiW after structural relaxation, computed with PBE.

The structure in POSCAR format:
```
Li2TiW
1.0
0.0000 3.0451 3.0451
3.0451 0.0000 3.0451
3.0451 3.0451 0.0000
Li Ti W
2 1 1
Direct
0.2500 0.2500 0.2500 Li
0.7500 0.7500 0.7500 Li
0.0000 0.0000 0.0000 Ti
0.5000 0.5000 0.5000 W
```

Results
Total magnetization ... 0.000 μB/atom
Density ... 7.22 Mg/m³

=====

Most stable to least stable: Q, P

=====

P.
LiTiW3 after structural relaxation, computed with PBE.

The structure in POSCAR format:
```
LiTiW3
1.0
4.2762 0.0000 0.0000
0.0000 4.2762 0.0000
0.0000 0.0000 4.2762
Li Ti W
1 1 3
Direct
0.0000 0.0000 0.0000 Li
0.5000 0.5000 0.5000 Ti
0.0000 0.0000 0.5000 W
0.0000 0.5000 0.0000 W
0.5000 0.0000 0.0000 W
```

Results
Total magnetization ... 0.000 μB/atom
Density ... 12.88 Mg/m³

=====

Q.
LiTiW3 after structural relaxation, computed with PBE.

The structure in POSCAR format:
```
LiTiW3
1.0
4.6137 0.0000 0.0000
0.0000 4.6137 0.0000
0.0000 0.0000 4.6137
Li Ti W
1 1 3
Direct
0.0000 0.0000 0.0000 Li
0.5000 0.5000 0.5000 Ti
0.0000 0.5000 0.5000 W
0.5000 0.0000 0.5000 W
0.5000 0.5000 0.0000 W
```

Results
Total magnetization ... 0.000 μB/atom
Density ... 10.25 Mg/m³

=====

Most stable to least stable: P, Q

=====

P.
LiYTi after structural relaxation, computed with PBE.

The structure in POSCAR format:
```
LiYTi
1.0
3.1891 0.0000 0.0000
0.0000 4.8100 0.0000
-0.3244 0.0000 9.0993
Li Y Ti
2 2 2
Direct
0.0815 0.2500 0.4100 Li
0.9185 0.7500 0.5900 Li
0.4742 0.2500 0.7685 Y
0.5258 0.7500 0.2315 Y
0.0041 0.2500 0.0592 Ti
0.9959 0.7500 0.9408 Ti
```

Results
Total magnetization ... 0.000 μB/atom
Density ... 3.42 Mg/m³

=====

Q.
LiYTi after structural relaxation, computed with PBE.

The structure in POSCAR format:
```
LiYTi
1.0
5.9352 -1.7883 0.0000
5.9352 1.7883 0.0000
-0.5624 0.0000 6.4333
Li Y Ti
2 2 2
Direct
0.0000 0.0000 0.0000 Li
0.6096 0.6096 0.7918 Li
0.2887 0.2887 0.0821 Y
0.9174 0.9174 0.5286 Y
0.2021 0.2021 0.5368 Ti
0.5910 0.5910 0.2918 Ti
```

Results
Total magnetization ... 0.269 μB/atom
Density ... 3.49 Mg/m³

=====

R.
LiYTi after structural relaxation, computed with PBE.

The structure in POSCAR format:
```
LiYTi
1.0
5.3949 -2.3495 0.0000
5.3949 2.3495 0.0000
-3.4354 0.0000 5.2593
Li Y Ti
2 2 2
Direct
0.0000 0.0000 0.0000 Li
0.6274 0.6274 0.9934 Li
0.2896 0.2896 0.9768 Y
0.6479 0.6479 0.4870 Y
0.3624 0.3624 0.5258 Ti
0.9361 0.9361 0.4623 Ti
```

Results
Total magnetization ... 0.000 μB/atom
Density ... 3.58 Mg/m³

=====

S.
LiYTi after structural relaxation, computed with PBE.

The structure in POSCAR format:
```
LiYTi
1.0
4.9064 0.0000 0.0000
-2.4532 4.2490 0.0000
0.0000 0.0000 6.5745
Li Y Ti
2 2 2
Direct
0.3333 0.6667 0.2500 Li
0.6667 0.3333 0.7500 Li
0.0000 0.0000 0.0000 Y
0.0000 0.0000 0.5000 Y
0.3333 0.6667 0.7500 Ti
0.6667 0.3333 0.2500 Ti
```

Results
Total magnetization ... 0.695 μB/atom
Density ... 3.48 Mg/m³

=====

Most stable to least stable: P, R, Q, S

=====

P.
LiYTi after structural relaxation, computed with PBE.

The structure in POSCAR format:
```
LiYTi
1.0
4.3624 -2.4975 0.0000
4.3624 2.4975 0.0000
-0.8105 0.0000 6.2185
Li Y Ti
2 2 2
Direct
0.0000 0.0000 0.0000 Li
0.6810 0.6810 0.9966 Li
0.0322 0.0322 0.5310 Y
0.3395 0.3395 0.2559 Y
0.3814 0.3814 0.7269 Ti
0.7008 0.7008 0.5372 Ti
```

Results
Total magnetization ... 0.013 μB/atom
Density ... 3.52 Mg/m³

=====

Q.
LiYTi after structural relaxation, computed with PBE.

The structure in POSCAR format:
```
LiYTi
1.0
5.2915 0.0000 0.0000
-2.6457 4.5825 0.0000
0.0000 0.0000 5.8815
Li Y Ti
2 2 2
Direct
0.0000 0.0000 0.0000 Li
0.0000 0.0000 0.5000 Li
0.3333 0.6667 0.2500 Y
0.6667 0.3333 0.7500 Y
0.3333 0.6667 0.7500 Ti
0.6667 0.3333 0.2500 Ti
```

Results
Total magnetization ... 0.700 μB/atom
Density ... 3.35 Mg/m³

=====

Most stable to least stable: P, Q

=====

P.
LiY3Ti after structural relaxation, computed with PBE.

The structure in POSCAR format:
```
LiY3Ti
1.0
5.2531 0.0000 0.0000
0.0000 5.2531 0.0000
0.0000 0.0000 5.2531
Li Y Ti
1 3 1
Direct
0.0000 0.0000 0.0000 Li
0.0000 0.0000 0.5000 Y
0.0000 0.5000 0.0000 Y
0.5000 0.0000 0.0000 Y
0.5000 0.5000 0.5000 Ti
```

Results
Total magnetization ... 0.201 μB/atom
Density ... 3.68 Mg/m³

=====

Q.
LiY3Ti after structural relaxation, computed with PBE.

The structure in POSCAR format:
```
LiY3Ti
1.0
5.4675 0.0000 0.0000
0.0000 5.4675 0.0000
0.0000 0.0000 5.4675
Li Y Ti
1 3 1
Direct
0.0000 0.0000 0.0000 Li
0.0000 0.5000 0.5000 Y
0.5000 0.0000 0.5000 Y
0.5000 0.5000 0.0000 Y
0.5000 0.5000 0.5000 Ti
```

Results
Total magnetization ... 0.000 μB/atom
Density ... 3.27 Mg/m³

=====

Most stable to least stable: Q, P